No. 1
CdNiS after structural relaxation. Source: Alexandria via LeMat-Bulk, functional PBE-GGA.

Computed properties:
E above lowest polymorph in eV/f.u.: 0.10
Space-group type: C2/m (12)
Calculated density in g/cm³: 5.8

Structure (POSCAR):
```
CdNiS
1.0
7.2711 -2.5158 0.0000
7.2711 2.5158 0.0000
-0.3698 0.0000 3.1842
Cd Ni S
2 2 2
direct
0.0838 0.0838 0.2896
0.9162 0.9162 0.7104
0.0000 0.5000 0.5000
0.5000 0.0000 0.5000
0.3226 0.3226 0.0314
0.6774 0.6774 0.9686
```


No. 2
Cd2Ni2S after structural relaxation. Source: Alexandria via LeMat-Bulk, functional PBE-GGA.

Computed properties:
Space-group type: P4/mbm (127)
Calculated density in g/cm³: 7.8

Structure (POSCAR):
```
Cd2Ni2S
1.0
6.0866 0.0000 0.0000
0.0000 6.0866 0.0000
0.0000 0.0000 4.2839
Cd Ni S
4 4 2
direct
0.1597 0.3403 0.0000
0.3403 0.8403 0.0000
0.6597 0.1597 0.0000
0.8403 0.6597 0.0000
0.1566 0.6566 0.5000
0.3434 0.1566 0.5000
0.6566 0.8434 0.5000
0.8434 0.3434 0.5000
0.0000 0.0000 0.5000
0.5000 0.5000 0.5000
```


| no. | energy (eV/atom) | formation energy (no corrections) (kJ/mol of formula units) |
| --- | --- | --- |
| 1 | -3.8161 | -60 |
| 2 | -3.5201 | -8 |